Record 1
A geometry-optimized AcSn4Rh2 structure, computed with PBE.

abc: 8.719 8.719 4.350
angles: 90.00 90.00 90.00
Space group P4_2/mnm (No. 136)
Symmetry-distinct sites (fractional):
Ac 0.000 0.000 0.000
Sn 0.081 0.322 0.500
Rh 0.211 0.789 0.500

## Properties
Its formation energy is -481 meV/atom. As for the relative energy among the computed polymorphs: 0.128 eV per atom. The value obtained for the density of states at the Fermi level is 0.6655 states/eV/atom.


Record 2
A geometry-optimized Ba6InAu5 structure, computed with PBE.

abc: 5.763 8.137 9.123
angles: 90.00 108.26 90.00
Space group P2/m (No. 10)
Symmetry-distinct sites (fractional):
Ba 0.000 0.239 0.000
Ba 0.330 0.250 0.659
In 0.500 0.500 0.000
Au 0.158 0.500 0.317
Au 0.166 0.000 0.336
Au 0.500 0.000 0.000

## Properties
Its formation energy is -622 meV/atom. The value obtained for the density of states at the Fermi level is 0.8239 states/eV/atom.


Record 3
A geometry-optimized TaAlOs3 structure, computed with PBE.

abc: 4.733 4.733 4.733
angles: 90.00 90.00 90.00
Space group Pm-3m (No. 221)
Symmetry-distinct sites (fractional):
Ta 0.000 0.000 0.000
Al 0.500 0.500 0.500
Os 0.000 0.000 0.500

## Properties
Its formation energy is 2113 meV/atom. As for the relative energy among the computed polymorphs: 1.009 eV per atom. The value obtained for the density of states at the Fermi level is 0.8856 states/eV/atom.


Record 4
A geometry-optimized UAlMoOs structure, computed with PBE.

abc: 6.505 6.505 6.505
angles: 90.00 90.00 90.00
Space group F-43m (No. 216)
Symmetry-distinct sites (fractional):
U 0.000 0.000 0.000
Al 0.000 0.000 0.500
Mo 0.250 0.250 0.750
Os 0.250 0.250 0.250

## Properties
Its formation energy is -65 meV/atom. The value obtained for the density of states at the Fermi level is 1.4254 states/eV/atom.